This record from OQMD via LeMat-Bulk describes a geometry-optimized ScCoSb structure. The functional is PBE.

Calculated values
The total energy is -6.41 eV per atom.

Structure (extended XYZ):
```
6
Lattice="-3.7330 0.0435 -2.2995 3.8358 -0.5297 -2.0569 -0.4942 -6.2357 0.6844" Properties=species:S:1:pos:R:3 pbc="T T T"
Sb 1.1893 -1.8976 -1.9667
Co 0.9422 -5.0154 -1.6245
Co -1.3336 -1.7065 -2.0475
Sc -0.2471 -3.1178 0.3422
Sb -1.5807 -4.8244 -1.7054
Sc 0.0000 0.0000 0.0000
```